Computed, not measured: an optimized crystal structure of Ti2HgPd at the GGA-PBE level of DFT.

Lattice parameters (Å, degrees): 2.9087 2.9087 8.1671 90.00 90.00 90.00
Closest atoms and distances in Å follow each position.
Fractional coordinates of all 4 atoms:
Ti  0.0000  0.0000  0.2310  4 Pd 2.79, 4 Ti 2.91, 4 Hg 3.01
Ti  0.0000  0.0000  0.7690  4 Pd 2.79, 4 Ti 2.91, 4 Hg 3.01
Hg  0.5000  0.5000  0.5000  4 Hg 2.91, 8 Ti 3.01
Pd  0.5000  0.5000  0.0000  8 Ti 2.79, 4 Pd 2.91

Results
Symmetry ... P4/mmm (123)
Formation energy from the elements ... -0.2389 eV per atom
ρ ... 9.68 g/cm³
Calculated volume ... 17.3 A^3/atom